(1)
# CsBe2Cd2As3, optimized geometry, DFT PBE
data_CsBe2Cd2As3
_cell_length_a 4.238
_cell_length_b 4.238
_cell_length_c 10.596
_cell_angle_alpha 90.00
_cell_angle_beta 90.00
_cell_angle_gamma 90.00
_symmetry_space_group_name_H-M 'P 4 m m'
_symmetry_Int_Tables_number 99
_symmetry_space_group_name_Hall 'P 4 -2'
loop_
_atom_site_label
_atom_site_type_symbol
_atom_site_fract_x
_atom_site_fract_y
_atom_site_fract_z
Cs1 Cs 0.000 0.000 0.000
Be1 Be 0.000 0.500 0.674
Cd1 Cd 0.000 0.500 0.373
As1 As 0.000 0.000 0.562
As2 As 0.500 0.500 0.219
As3 As 0.500 0.500 0.776
# Energy   -25.4 eV per cell
# E above lowest polymorph   0.000 eV per atom
# Theoretical density   5.2 g/cm³

***

(2)
# CsBe2Cd2As3, optimized geometry, DFT PBE
data_CsBe2Cd2As3
_cell_length_a 4.062
_cell_length_b 4.432
_cell_length_c 10.959
_cell_angle_alpha 90.00
_cell_angle_beta 90.00
_cell_angle_gamma 90.00
_symmetry_space_group_name_H-M 'P m m m'
_symmetry_Int_Tables_number 47
_symmetry_space_group_name_Hall '-P 2 2'
loop_
_atom_site_label
_atom_site_type_symbol
_atom_site_fract_x
_atom_site_fract_y
_atom_site_fract_z
Cs1 Cs 0.000 0.000 0.000
Be1 Be 0.000 0.500 0.331
Cd1 Cd 0.500 0.000 0.344
As1 As 0.000 0.000 0.500
As2 As 0.500 0.500 0.216
# Energy   -24.6 eV per cell
# E above lowest polymorph   0.089 eV per atom
# Theoretical density   5.1 g/cm³

***

(3)
# BeCdGe2As4, optimized geometry, DFT PBE
data_BeCdGe2As4
_cell_length_a 5.720
_cell_length_b 5.720
_cell_length_c 11.347
_cell_angle_alpha 90.00
_cell_angle_beta 90.00
_cell_angle_gamma 90.00
_symmetry_space_group_name_H-M 'I -4'
_symmetry_Int_Tables_number 82
_symmetry_space_group_name_Hall 'I -4'
loop_
_atom_site_label
_atom_site_type_symbol
_atom_site_fract_x
_atom_site_fract_y
_atom_site_fract_z
Be1 Be 0.000 0.000 0.000
Cd1 Cd 0.000 0.500 0.750
Ge1 Ge 0.000 0.000 0.500
Ge2 Ge 0.000 0.500 0.250
As1 As 0.224 0.247 0.115
# Energy   -66.6 eV per cell
# Theoretical density   5.1 g/cm³

***

(4)
# BeCoAs, optimized geometry, DFT PBE
data_BeCoAs
_cell_length_a 5.369
_cell_length_b 5.369
_cell_length_c 5.369
_cell_angle_alpha 90.00
_cell_angle_beta 90.00
_cell_angle_gamma 90.00
_symmetry_space_group_name_H-M 'F -4 3 m'
_symmetry_Int_Tables_number 216
_symmetry_space_group_name_Hall 'F -4 2 3'
loop_
_atom_site_label
_atom_site_type_symbol
_atom_site_fract_x
_atom_site_fract_y
_atom_site_fract_z
Be1 Be 0.000 0.000 0.000
Co1 Co 0.000 0.000 0.500
As1 As 0.250 0.250 0.250
# Size of the total moment   0.0 μB/f.u.
# Energy   -61.3 eV per cell
# E above lowest polymorph   0.197 eV per atom
# Theoretical density   6.1 g/cm³

***

(5)
# BeCoAs, optimized geometry, DFT PBE
data_BeCoAs
_cell_length_a 5.324
_cell_length_b 5.324
_cell_length_c 5.324
_cell_angle_alpha 90.00
_cell_angle_beta 90.00
_cell_angle_gamma 90.00
_symmetry_space_group_name_H-M 'F -4 3 m'
_symmetry_Int_Tables_number 216
_symmetry_space_group_name_Hall 'F -4 2 3'
loop_
_atom_site_label
_atom_site_type_symbol
_atom_site_fract_x
_atom_site_fract_y
_atom_site_fract_z
Be1 Be 0.000 0.000 0.000
Co1 Co 0.250 0.250 0.750
As1 As 0.000 0.000 0.500
# Size of the total moment   0.0 μB/f.u.
# Energy   -63.6 eV per cell
# E above lowest polymorph   0.000 eV per atom
# Theoretical density   6.3 g/cm³

***

(6)
# BeCoAs2, optimized geometry, DFT PBE
data_BeCoAs2
_cell_length_a 6.037
_cell_length_b 6.037
_cell_length_c 6.037
_cell_angle_alpha 90.00
_cell_angle_beta 90.00
_cell_angle_gamma 90.00
_symmetry_space_group_name_H-M 'F -4 3 m'
_symmetry_Int_Tables_number 216
_symmetry_space_group_name_Hall 'F -4 2 3'
loop_
_atom_site_label
_atom_site_type_symbol
_atom_site_fract_x
_atom_site_fract_y
_atom_site_fract_z
Be1 Be 0.000 0.000 0.000
Co1 Co 0.250 0.250 0.250
As1 As 0.000 0.000 0.500
As2 As 0.250 0.250 0.750
# Size of the total moment   0.8 μB/f.u.
# Energy   -71.6 eV per cell
# Theoretical density   6.6 g/cm³